DFT (PBE) results for a relaxed Pm2Sm3Zn2 crystal.

Structure (POSCAR):
```
Pm2Sm3Zn2
1.0
3.751 0.000 0.000
-1.875 6.486 -0.439
0.000 -3.550 8.685
Sm Pm Zn
3 2 2
Direct
0.388 0.777 0.559
0.500 0.000 0.000
0.612 0.223 0.441
0.152 0.304 0.814
0.848 0.696 0.186
0.175 0.349 0.228
0.825 0.651 0.772
```

**Space group**: C2/m
**Energy of formation**: -0.13 eV/atom
**Energy relative to the lowest polymorph listed for this composition**: 0 meV/atom
**Magnetization**: 0.00 μB/f.u.